# PrDyMgGa PBE-GGA optimized geometry
data_PrDyMgGa
_cell_length_a 3.703
_cell_length_b 3.703
_cell_length_c 7.700
_cell_angle_alpha 90.00
_cell_angle_beta 90.00
_cell_angle_gamma 90.00
_space_group_name_H-M_alt 'P 4 m m'
_space_group_IT_number 99
_space_group_name_Hall 'P 4 -2'
loop_
_atom_site_label
_atom_site_fract_x
_atom_site_fract_y
_atom_site_fract_z
Pr1 0.000 0.000 0.000
Dy1 0.000 0.000 0.461
Mg1 0.500 0.500 0.717
Ga1 0.500 0.500 0.248
# energy of formation = -31.9 kJ/mol of atoms
# size of the total moment = 0.00 μB/atom
# DOS(E_F) = 0.819 states/eV/atom
# V = 26.40 Å³ per atom